VASP calculation (PBE) on a relaxed structure of MgRe2Se.

Lattice parameters (Å, degrees): 2.840 2.840 9.114 90.00 90.00 114.71
Positions (direct):
1 Re 0.500 0.500 0.238
2 Re 0.000 0.000 0.010
3 Mg 0.500 0.500 0.758
4 Se 0.000 0.000 0.494

Energy relative to the elements, uncorrected (kcal/mol of atoms): 9.7



VASP calculation (PBE) on a relaxed structure of Li2NpTlO8.

Lattice parameters (Å, degrees): 6.085 6.085 6.085 112.80 112.80 103.01
Positions (direct):
1 O 0.278 0.170 0.892
2 O 0.278 0.387 0.108
3 O 0.613 0.722 0.892
4 O 0.303 0.001 0.301
5 O 0.830 0.722 0.108
6 O 0.999 0.300 0.301
7 O 0.700 0.001 0.699
8 O 0.999 0.697 0.699
9 Li 0.500 0.500 0.000
10 Li 0.750 0.250 0.500
11 Tl 0.250 0.750 0.500
12 Np 0.000 0.000 0.000

Energy relative to the elements, uncorrected (kcal/mol of atoms): -31.0



VASP calculation (PBE) on a relaxed structure of HfThCu.

Lattice parameters (Å, degrees): 5.159 5.159 6.578 66.91 66.91 60.00
Positions (direct):
1 Hf 0.592 0.592 0.224
2 Hf 0.408 0.408 0.776
3 Th 0.902 0.902 0.294
4 Th 0.098 0.098 0.706
5 Cu 0.741 0.741 0.778
6 Cu 0.259 0.259 0.222

Energy of formation from the pure elements (eV/f.u.): 1.02



VASP calculation (PBE) on a relaxed structure of Cs2RhI.

Lattice parameters (Å, degrees): 7.654 7.654 7.654 112.04 112.04 104.45
Positions (direct):
1 Cs 0.227 0.125 0.602
2 Cs 0.875 0.477 0.102
3 Cs 0.523 0.625 0.398
4 Cs 0.375 0.773 0.898
5 Rh 0.500 0.500 0.000
6 Rh 0.250 0.750 0.500
7 I 0.750 0.250 0.500
8 I 0.000 0.000 0.000

Energy relative to the elements, uncorrected (kcal/mol of atoms): 0.6



no.,size of the total moment (μB/f.u.),DOS(E_F) (states/eV/atom)
1,0.0,0.6862
2,0.0,0.2259
3,0.0,1.0493
4,0.0,0.2382